No. 1
A plane-wave DFT calculation with GGA-PBE was carried out for a relaxed Nd2Zn4Pd3Au crystal.

## Properties
- formation enthalpy at 0 K (eV per atom) = -0.58

Geometry as CIF:
```
data_Nd2Zn4Pd3Au
_cell_length_a 4.329
_cell_length_b 4.329
_cell_length_c 10.499
_cell_angle_alpha 90.00
_cell_angle_beta 90.00
_cell_angle_gamma 90.00
_symmetry_space_group_name_H-M 'P 1'
_symmetry_Int_Tables_number 1
_symmetry_space_group_name_Hall 'P 1'
loop_
_atom_site_label
_atom_site_type_symbol
_atom_site_fract_x
_atom_site_fract_y
_atom_site_fract_z
Nd1 Nd 0.000 0.500 0.249
Nd2 Nd 0.500 0.000 0.751
Zn1 Zn 0.000 0.000 0.500
Zn2 Zn 0.000 0.500 0.866
Zn3 Zn 0.500 0.000 0.134
Zn4 Zn 0.500 0.500 0.500
Pd1 Pd 0.000 0.000 0.000
Pd2 Pd 0.000 0.500 0.630
Pd3 Pd 0.500 0.000 0.370
Au1 Au 0.500 0.500 0.000
```

---

No. 2
A plane-wave DFT calculation with GGA-PBE was carried out for a relaxed La2HoSi2 crystal.

## Properties
- ΔE to the lowest computed polymorph (meV/atom) = 48
- energy relative to the elements, uncorrected (meV per atom) = -639

Geometry as CIF:
```
data_La2HoSi2
_cell_length_a 6.680
_cell_length_b 6.680
_cell_length_c 10.962
_cell_angle_alpha 115.73
_cell_angle_beta 115.73
_cell_angle_gamma 38.68
_symmetry_space_group_name_H-M 'P 1'
_symmetry_Int_Tables_number 1
_symmetry_space_group_name_Hall 'P 1'
loop_
_atom_site_label
_atom_site_type_symbol
_atom_site_fract_x
_atom_site_fract_y
_atom_site_fract_z
La1 La 0.015 0.015 0.189
La2 La 0.179 0.179 0.592
La3 La 0.821 0.821 0.408
La4 La 0.985 0.985 0.811
Ho1 Ho 0.274 0.274 0.131
Ho2 Ho 0.726 0.726 0.869
Si1 Si 0.390 0.390 0.947
Si2 Si 0.494 0.494 0.607
Si3 Si 0.506 0.506 0.393
Si4 Si 0.610 0.610 0.053
```

---

No. 3
A plane-wave DFT calculation with GGA-PBE was carried out for a relaxed Pm5Ga2I2 crystal.

## Properties
- energy relative to the elements, uncorrected (meV per atom) = -672

Geometry as CIF:
```
data_Pm5Ga2I2
_cell_length_a 8.882
_cell_length_b 8.882
_cell_length_c 8.129
_cell_angle_alpha 90.00
_cell_angle_beta 90.00
_cell_angle_gamma 54.66
_symmetry_space_group_name_H-M 'P 1'
_symmetry_Int_Tables_number 1
_symmetry_space_group_name_Hall 'P 1'
loop_
_atom_site_label
_atom_site_type_symbol
_atom_site_fract_x
_atom_site_fract_y
_atom_site_fract_z
Pm1 Pm 0.000 0.000 0.000
Pm2 Pm 0.044 0.705 0.669
Pm3 Pm 0.205 0.544 0.169
Pm4 Pm 0.295 0.956 0.669
Pm5 Pm 0.456 0.795 0.169
Pm6 Pm 0.500 0.500 0.500
Pm7 Pm 0.544 0.205 0.831
Pm8 Pm 0.705 0.044 0.331
Pm9 Pm 0.795 0.456 0.831
Pm10 Pm 0.956 0.295 0.331
Ga1 Ga 0.125 0.875 0.375
Ga2 Ga 0.375 0.625 0.875
Ga3 Ga 0.625 0.375 0.125
Ga4 Ga 0.875 0.125 0.625
I1 I 0.205 0.205 0.000
I2 I 0.295 0.295 0.500
I3 I 0.705 0.705 0.500
I4 I 0.795 0.795 0.000
```

---

No. 4
A plane-wave DFT calculation with GGA-PBE was carried out for a relaxed Fe2SiNi crystal.

## Properties
- energy relative to the elements, uncorrected (meV per atom) = -217

Geometry as CIF:
```
data_Fe2SiNi
_cell_length_a 2.558
_cell_length_b 3.818
_cell_length_c 4.746
_cell_angle_alpha 90.00
_cell_angle_beta 100.10
_cell_angle_gamma 90.00
_symmetry_space_group_name_H-M 'P 1'
_symmetry_Int_Tables_number 1
_symmetry_space_group_name_Hall 'P 1'
loop_
_atom_site_label
_atom_site_type_symbol
_atom_site_fract_x
_atom_site_fract_y
_atom_site_fract_z
Fe1 Fe 0.000 0.000 0.000
Fe2 Fe 0.242 0.500 0.710
Si1 Si 0.640 0.000 0.497
Ni1 Ni 0.605 0.500 0.226
```

---

No. 5
A plane-wave DFT calculation with GGA-PBE was carried out for a relaxed Cs7Ag crystal.

## Properties
- formation enthalpy at 0 K (eV per atom) = 0.07

Geometry as CIF:
```
data_Cs7Ag
_cell_length_a 14.506
_cell_length_b 14.506
_cell_length_c 14.506
_cell_angle_alpha 32.25
_cell_angle_beta 32.25
_cell_angle_gamma 32.25
_symmetry_space_group_name_H-M 'P 1'
_symmetry_Int_Tables_number 1
_symmetry_space_group_name_Hall 'P 1'
loop_
_atom_site_label
_atom_site_type_symbol
_atom_site_fract_x
_atom_site_fract_y
_atom_site_fract_z
Cs1 Cs 0.000 0.000 0.000
Cs2 Cs 0.147 0.147 0.147
Cs3 Cs 0.281 0.281 0.281
Cs4 Cs 0.414 0.414 0.414
Cs5 Cs 0.586 0.586 0.586
Cs6 Cs 0.719 0.719 0.719
Cs7 Cs 0.853 0.853 0.853
Ag1 Ag 0.500 0.500 0.500
```

---

No. 6
A plane-wave DFT calculation with GGA-PBE was carried out for a relaxed TePd2Se crystal.

## Properties
- ΔE to the lowest computed polymorph (meV/atom) = 6
- energy relative to the elements, uncorrected (meV per atom) = -235

Geometry as CIF:
```
data_TePd2Se
_cell_length_a 6.527
_cell_length_b 6.527
_cell_length_c 6.527
_cell_angle_alpha 34.76
_cell_angle_beta 34.76
_cell_angle_gamma 34.76
_symmetry_space_group_name_H-M 'P 1'
_symmetry_Int_Tables_number 1
_symmetry_space_group_name_Hall 'P 1'
loop_
_atom_site_label
_atom_site_type_symbol
_atom_site_fract_x
_atom_site_fract_y
_atom_site_fract_z
Te1 Te 0.000 0.000 0.000
Pd1 Pd 0.245 0.245 0.245
Pd2 Pd 0.755 0.755 0.755
Se1 Se 0.500 0.500 0.500
```

---

Going through the records in order, we get spin magnetization values of 0.0; 0.0; 0.0; 4.7; 0.0; 0.0 μB per cell.
Going through the records in order, we get DOS(E_F) values of 0.55; 0.80; 1.32; 0.83; 0.98; 0.71 states/eV per atom.